Here is Ba2LiH6Ir after structural relaxation from OQMD via LeMat-Bulk. Energies are from PBE.

Output
- Energy: -3.9358 eV per atom
- Calculated density: 6.002 Mg/m³
- Volume: 132.8 Å³ per cell

Cell lengths 5.7260, 5.7260, 5.7260 Å; angles 60.00, 60.00, 60.00 degrees
Last column: nearest neighbours and their distance in Å.
Fractional positions:
Ba (0.2500, 0.2500, 0.2500)  12 H 2.87
Ba (0.7500, 0.7500, 0.7500)  12 H 2.87
Li (0.0000, 0.0000, 0.0000)  6 H 2.28
H (0.2817, 0.2817, 0.7183)  1 Ir 1.77
H (0.2817, 0.7183, 0.2817)  1 Ir 1.77
H (0.2817, 0.7183, 0.7183)  1 Ir 1.77
H (0.7183, 0.2817, 0.2817)  1 Ir 1.77
H (0.7183, 0.2817, 0.7183)  1 Ir 1.77
H (0.7183, 0.7183, 0.2817)  1 Ir 1.77
Ir (0.5000, 0.5000, 0.5000)  6 H 1.77

***

Here is Ba2NaH6Ir after structural relaxation from OQMD via LeMat-Bulk. Energies are from PBE.

Output
- Energy: -3.8487 eV per atom
- Calculated density: 5.873 Mg/m³
- Volume: 140.2 Å³ per cell

Cell lengths 5.8313, 5.8313, 5.8313 Å; angles 60.00, 60.00, 60.00 degrees
Last column: nearest neighbours and their distance in Å.
Fractional positions:
Ba (0.2500, 0.2500, 0.2500)  12 H 2.93
Ba (0.7500, 0.7500, 0.7500)  12 H 2.93
Na (0.0000, 0.0000, 0.0000)  6 H 2.39
H (0.2894, 0.2894, 0.7106)  1 Ir 1.74
H (0.2894, 0.7106, 0.2894)  1 Ir 1.74
H (0.2894, 0.7106, 0.7106)  1 Ir 1.74
H (0.7106, 0.2894, 0.2894)  1 Ir 1.74
H (0.7106, 0.2894, 0.7106)  1 Ir 1.74
H (0.7106, 0.7106, 0.2894)  1 Ir 1.74
Ir (0.5000, 0.5000, 0.5000)  6 H 1.74

***

Here is K2BaNiH6 after structural relaxation from OQMD via LeMat-Bulk. Energies are from PBE.

Output
- Energy: -3.0552 eV per atom
- Calculated density: 3.151 Mg/m³
- Volume: 147.7 Å³ per cell

Cell lengths 5.9331, 5.9331, 5.9331 Å; angles 60.00, 60.00, 60.00 degrees
Last column: nearest neighbours and their distance in Å.
Fractional positions:
K (0.2500, 0.2500, 0.2500)  12 H 3.00
K (0.7500, 0.7500, 0.7500)  12 H 3.00
Ba (0.0000, 0.0000, 0.0000)  6 H 2.54
Ni (0.5000, 0.5000, 0.5000)  6 H 1.66
H (0.3027, 0.3027, 0.6973)  1 Ni 1.66
H (0.3027, 0.6973, 0.3027)  1 Ni 1.66
H (0.3027, 0.6973, 0.6973)  1 Ni 1.66
H (0.6973, 0.3027, 0.3027)  1 Ni 1.66
H (0.6973, 0.3027, 0.6973)  1 Ni 1.66
H (0.6973, 0.6973, 0.3027)  1 Ni 1.66

***

Here is Ba2LiH6Pd after structural relaxation from OQMD via LeMat-Bulk. Energies are from PBE.

Output
- Energy: -3.5424 eV per atom
- Calculated density: 5.066 Mg/m³
- Volume: 129.2 Å³ per cell

Cell lengths 5.6741, 5.6741, 5.6741 Å; angles 60.00, 60.00, 60.00 degrees
Last column: nearest neighbours and their distance in Å.
Fractional positions:
Ba (0.2500, 0.2500, 0.2500)  12 H 2.84
Ba (0.7500, 0.7500, 0.7500)  12 H 2.84
Li (0.0000, 0.0000, 0.0000)  6 H 2.12
H (0.2640, 0.2640, 0.7360)  1 Pd 1.89, 1 Li 2.12
H (0.2640, 0.7360, 0.2640)  1 Pd 1.89, 1 Li 2.12
H (0.2640, 0.7360, 0.7360)  1 Pd 1.89, 1 Li 2.12
H (0.7360, 0.2640, 0.2640)  1 Pd 1.89, 1 Li 2.12
H (0.7360, 0.2640, 0.7360)  1 Pd 1.89, 1 Li 2.12
H (0.7360, 0.7360, 0.2640)  1 Pd 1.89, 1 Li 2.12
Pd (0.5000, 0.5000, 0.5000)  6 H 1.89

***

Here is Ba2LiH6Pt after structural relaxation from OQMD via LeMat-Bulk. Energies are from PBE.

Output
- Energy: -3.6329 eV per atom
- Calculated density: 6.061 Mg/m³
- Volume: 132.2 Å³ per cell

Cell lengths 5.7187, 5.7187, 5.7187 Å; angles 60.00, 60.00, 60.00 degrees
Last column: nearest neighbours and their distance in Å.
Fractional positions:
Ba (0.2500, 0.2500, 0.2500)  12 H 2.87
Ba (0.7500, 0.7500, 0.7500)  12 H 2.87
Li (0.0000, 0.0000, 0.0000)  6 H 2.21
H (0.2731, 0.2731, 0.7269)  1 Pt 1.84
H (0.2731, 0.7269, 0.2731)  1 Pt 1.84
H (0.2731, 0.7269, 0.7269)  1 Pt 1.84
H (0.7269, 0.2731, 0.2731)  1 Pt 1.84
H (0.7269, 0.2731, 0.7269)  1 Pt 1.84
H (0.7269, 0.7269, 0.2731)  1 Pt 1.84
Pt (0.5000, 0.5000, 0.5000)  6 H 1.84

***

Here is Ba2LiZnH6 after structural relaxation from OQMD via LeMat-Bulk. Energies are from PBE.

Output
- Energy: -3.0190 eV per atom
- Calculated density: 4.591 Mg/m³
- Volume: 127.7 Å³ per cell

Cell lengths 5.6523, 5.6523, 5.6523 Å; angles 60.00, 60.00, 60.00 degrees
Last column: nearest neighbours and their distance in Å.
Fractional positions:
Ba (0.2500, 0.2500, 0.2500)  12 H 2.83
Ba (0.7500, 0.7500, 0.7500)  12 H 2.83
Li (0.0000, 0.0000, 0.0000)  6 H 2.05
Zn (0.5000, 0.5000, 0.5000)  6 H 1.95
H (0.2558, 0.2558, 0.7442)  1 Zn 1.95, 1 Li 2.05
H (0.2558, 0.7442, 0.2558)  1 Zn 1.95, 1 Li 2.05
H (0.2558, 0.7442, 0.7442)  1 Zn 1.95, 1 Li 2.05
H (0.7442, 0.2558, 0.2558)  1 Zn 1.95, 1 Li 2.05
H (0.7442, 0.2558, 0.7442)  1 Zn 1.95, 1 Li 2.05
H (0.7442, 0.7442, 0.2558)  1 Zn 1.95, 1 Li 2.05

***

Here is Ba2MgNbH6 after structural relaxation from OQMD via LeMat-Bulk. Energies are from PBE.

Output
- Energy: -3.7538 eV per atom
- Calculated density: 4.851 Mg/m³
- Volume: 272.4 Å³ per cell

Cell lengths 5.7651, 5.7878, 9.9896 Å; angles 90.00, 125.18, 90.00 degrees
Last column: nearest neighbours and their distance in Å.
Fractional positions:
Ba (0.2500, 0.0005, 0.2497)  12 H 2.88-2.90
Ba (0.2500, 0.4995, 0.7497)  12 H 2.88-2.90
Ba (0.7500, 0.5005, 0.2503)  12 H 2.88-2.90
Ba (0.7500, 0.9995, 0.7503)  12 H 2.88-2.90
Mg (0.0000, 0.0000, 0.5000)  6 H 2.03
Mg (0.0000, 0.5000, 0.0000)  6 H 2.03
Nb (0.5000, 0.0000, 0.0000)  6 H 2.05
Nb (0.5000, 0.5000, 0.5000)  6 H 2.05
H (0.2481, 0.5021, 0.2486)  1 Mg 2.03, 1 Nb 2.05
H (0.2481, 0.9979, 0.7486)  1 Mg 2.03, 1 Nb 2.05
H (0.2494, 0.2485, 0.5004)  1 Mg 2.03, 1 Nb 2.05
H (0.2494, 0.2515, 0.0004)  1 Mg 2.03, 1 Nb 2.05
H (0.2498, 0.7472, 0.9992)  1 Mg 2.03, 1 Nb 2.05
H (0.2498, 0.7528, 0.4992)  1 Mg 2.03, 1 Nb 2.05
H (0.7502, 0.2472, 0.5008)  1 Mg 2.03, 1 Nb 2.05
H (0.7502, 0.2528, 0.0008)  1 Mg 2.03, 1 Nb 2.05
H (0.7506, 0.7485, 0.9996)  1 Mg 2.03, 1 Nb 2.05
H (0.7506, 0.7515, 0.4996)  1 Mg 2.03, 1 Nb 2.05
H (0.7519, 0.0021, 0.2514)  1 Mg 2.03, 1 Nb 2.05
H (0.7519, 0.4979, 0.7514)  1 Mg 2.03, 1 Nb 2.05

***

Here is Ba2MgNbH6 after structural relaxation from OQMD via LeMat-Bulk. Energies are from PBE.

Output
- Energy: -3.7538 eV per atom
- Calculated density: 4.848 Mg/m³
- Volume: 272.6 Å³ per cell

Cell lengths 5.7729, 5.7763, 8.1736 Å; angles 90.02, 90.00, 90.03 degrees
Last column: nearest neighbours and their distance in Å.
Fractional positions:
Ba (0.0001, 0.0000, 0.2499)  12 H 2.86-2.91
Ba (0.9999, 0.0000, 0.7501)  12 H 2.86-2.91
Ba (0.5002, 0.5000, 0.2501)  12 H 2.86-2.92
Ba (0.4998, 0.5000, 0.7499)  12 H 2.86-2.92
Mg (0.0000, 0.5000, 0.0000)  6 H 2.03-2.04
Mg (0.5000, 0.0000, 0.5000)  6 H 2.03
Nb (0.0000, 0.5000, 0.5000)  6 H 2.05
Nb (0.5000, 0.0000, 0.0000)  6 H 2.05
H (0.0012, 0.4997, 0.2490)  1 Mg 2.04, 1 Nb 2.05
H (0.2437, 0.7533, 0.9992)  1 Mg 2.03, 1 Nb 2.05
H (0.2493, 0.2473, 0.5004)  1 Mg 2.03, 1 Nb 2.05
H (0.2531, 0.2552, 0.9998)  1 Mg 2.03, 1 Nb 2.05
H (0.2537, 0.7491, 0.5007)  1 Mg 2.03, 1 Nb 2.05
H (0.4993, 0.0000, 0.2511)  1 Mg 2.03, 1 Nb 2.05
H (0.5007, 0.0000, 0.7489)  1 Mg 2.03, 1 Nb 2.05
H (0.7463, 0.2509, 0.4993)  1 Mg 2.03, 1 Nb 2.05
H (0.7469, 0.7448, 0.0002)  1 Mg 2.03, 1 Nb 2.05
H (0.7507, 0.7527, 0.4996)  1 Mg 2.03, 1 Nb 2.05
H (0.7563, 0.2467, 0.0008)  1 Mg 2.03, 1 Nb 2.05
H (0.9988, 0.5003, 0.7510)  1 Mg 2.04, 1 Nb 2.05

***

Here is Ba2MgNiH6 after structural relaxation from OQMD via LeMat-Bulk. Energies are from PBE.

Output
- Energy: -3.4387 eV per atom
- Calculated density: 4.793 Mg/m³
- Volume: 126.0 Å³ per cell

Cell lengths 5.6274, 5.6274, 5.6274 Å; angles 60.00, 60.00, 60.00 degrees
Last column: nearest neighbours and their distance in Å.
Fractional positions:
Ba (0.2500, 0.2500, 0.2500)  12 H 2.82
Ba (0.7500, 0.7500, 0.7500)  12 H 2.82
Mg (0.0000, 0.0000, 0.0000)  6 H 2.18
Ni (0.5000, 0.5000, 0.5000)  6 H 1.80
H (0.2743, 0.2743, 0.7257)  1 Ni 1.80
H (0.2743, 0.7257, 0.2743)  1 Ni 1.80
H (0.2743, 0.7257, 0.7257)  1 Ni 1.80
H (0.7257, 0.2743, 0.2743)  1 Ni 1.80
H (0.7257, 0.2743, 0.7257)  1 Ni 1.80
H (0.7257, 0.7257, 0.2743)  1 Ni 1.80

***

Here is Ba2NaH6Pt after structural relaxation from OQMD via LeMat-Bulk. Energies are from PBE.

Output
- Energy: -3.5212 eV per atom
- Calculated density: 5.866 Mg/m³
- Volume: 141.2 Å³ per cell

Cell lengths 5.8449, 5.8449, 5.8449 Å; angles 60.00, 60.00, 60.00 degrees
Last column: nearest neighbours and their distance in Å.
Fractional positions:
Ba (0.2500, 0.2500, 0.2500)  12 H 2.94
Ba (0.7500, 0.7500, 0.7500)  12 H 2.94
Na (0.0000, 0.0000, 0.0000)  6 H 2.34
H (0.2829, 0.2829, 0.7171)  1 Pt 1.79
H (0.2829, 0.7171, 0.2829)  1 Pt 1.79
H (0.2829, 0.7171, 0.7171)  1 Pt 1.79
H (0.7171, 0.2829, 0.2829)  1 Pt 1.79
H (0.7171, 0.2829, 0.7171)  1 Pt 1.79
H (0.7171, 0.7171, 0.2829)  1 Pt 1.79
Pt (0.5000, 0.5000, 0.5000)  6 H 1.79

***

Here is Ba2NaZnH6 after structural relaxation from OQMD via LeMat-Bulk. Energies are from PBE.

Output
- Energy: -2.9017 eV per atom
- Calculated density: 4.441 Mg/m³
- Volume: 138.0 Å³ per cell

Cell lengths 5.8005, 5.8005, 5.8005 Å; angles 60.00, 60.00, 60.00 degrees
Last column: nearest neighbours and their distance in Å.
Fractional positions:
Ba (0.2500, 0.2500, 0.2500)  12 H 2.91
Ba (0.7500, 0.7500, 0.7500)  12 H 2.91
Na (0.0000, 0.0000, 0.0000)  6 H 2.23
Zn (0.5000, 0.5000, 0.5000)  6 H 1.87
H (0.2715, 0.2715, 0.7285)  1 Zn 1.87
H (0.2715, 0.7285, 0.2715)  1 Zn 1.87
H (0.2715, 0.7285, 0.7285)  1 Zn 1.87
H (0.7285, 0.2715, 0.2715)  1 Zn 1.87
H (0.7285, 0.2715, 0.7285)  1 Zn 1.87
H (0.7285, 0.7285, 0.2715)  1 Zn 1.87